No. 1
{"formula": "AcHfS4", "functional": "PBE", "state": "relaxed", "formation_energy_uncorrected_ev_per_atom": -1.50, "lattice": [[6.460, 0.119, 0.000], [-1.517, 7.383, 0.000], [-2.471, -3.751, 6.063]], "species": ["Ac", "Ac", "Hf", "Hf", "S", "S", "S", "S", "S", "S", "S", "S"], "fractional_positions": [[0.387, 0.637, 0.274], [0.613, 0.363, 0.726], [0.247, 0.997, 0.994], [0.753, 0.003, 0.006], [0.000, 0.210, 0.880], [0.813, 0.729, 0.679], [0.380, 0.671, 0.880], [0.366, 0.950, 0.679], [0.634, 0.050, 0.321], [0.620, 0.329, 0.120], [0.187, 0.271, 0.321], [0.000, 0.790, 0.120]]}

=====

No. 2
{"formula": "TiFePd3", "functional": "PBE", "state": "relaxed", "e_above_lowest_polymorph_mev_per_atom": 0, "delta_e_f_ev_per_fu": 3.46, "lattice": [[4.555, 0.000, 0.000], [0.000, 4.555, 0.000], [0.000, 0.000, 4.555]], "species": ["Fe", "Pd", "Pd", "Pd", "Ti"], "fractional_positions": [[0.000, 0.000, 0.000], [0.000, 0.500, 0.000], [0.000, 0.000, 0.500], [0.500, 0.000, 0.000], [0.500, 0.500, 0.500]]}

=====

No. 3
{"formula": "FeCoNi4", "functional": "PBE", "state": "relaxed", "e_above_lowest_polymorph_mev_per_atom": 0, "delta_e_f_ev_per_fu": -0.24, "lattice": [[-3.949, 0.412, 1.733], [0.055, -4.828, 1.274], [6.446, 1.036, 3.649]], "species": ["Fe", "Fe", "Co", "Co", "Ni", "Ni", "Ni", "Ni", "Ni", "Ni", "Ni", "Ni"], "fractional_positions": [[0.999, 0.750, 0.666], [0.001, 0.250, 0.334], [0.500, 0.500, 0.000], [0.500, 0.000, 0.000], [0.501, 0.001, 0.669], [0.499, 0.501, 0.331], [0.499, 0.999, 0.331], [0.501, 0.499, 0.669], [0.997, 0.250, 0.665], [0.003, 0.750, 0.335], [0.999, 0.250, 0.999], [0.001, 0.750, 0.001]]}

=====

no.,total magnetic moment (Bohr magnetons per cell),density of states at the Fermi level (states/eV per atom)
1,0.00,0.432
2,3.76,1.832
3,13.45,1.125